# PuSbCl

A relaxed structure of PuSbCl (PBE-GGA, the Alexandria database).

Cell lengths 4.2763, 4.2763, 8.6923 Å; angles 90.00, 90.00, 90.00 degrees
Site moments in Bohr magnetons follow the coordinates.
Sites, in units of the cell vectors:
Pu  0.0000  0.5000  0.7208  5.58
Pu  0.5000  0.0000  0.2792  5.58
Cl  0.5000  0.0000  0.6195  -0.04
Cl  0.0000  0.5000  0.3805  -0.04
Sb  0.0000  0.0000  0.0000  -0.06
Sb  0.5000  0.5000  0.0000  -0.06

Summary:
As for the formation energy without anion corrections: -1056 meV/atom. The raw total energy is -7.823 eV/atom. The density of states at the Fermi level is 12.09 states/eV/f.u.